First-principles (PBE-GGA) data for a geometry-optimized BiBPt2 structure, as listed in the Alexandria database.

Calculated values
Polymorph energy (0 for the lowest one)   78 meV/atom

The structure in POSCAR format:
```
BiBPt2
1.0
5.2014 0.0000 0.0000
0.0000 5.2014 0.0000
2.6007 2.6007 5.9344
Bi Pt B
2 4 2
Cartesian
5.2014 2.6007 2.9672 Bi
0.0000 0.0000 0.0000 Bi
6.5017 5.8746 4.4508 Pt
3.2739 1.3003 1.4836 Pt
3.9010 4.5282 4.4508 Pt
1.9275 3.9010 1.4836 Pt
2.6007 5.2014 2.9672 B
2.6007 2.6007 0.0000 B
```



First-principles (PBE-GGA) data for a geometry-optimized BiB2Pt structure, as listed in the Alexandria database.

Calculated values
Energy   -42.6 eV per cell

The structure in POSCAR format:
```
BiB2Pt
1.0
-3.8393 3.3682 0.9377
-3.4232 -3.9047 0.0095
-2.9164 -0.8825 5.6071
Pt B Bi
2 4 2
Cartesian
-3.6313 -0.2682 0.4736 Pt
-4.9854 -2.5277 3.0451 Pt
-8.3056 -0.8616 5.0334 B
-3.6137 -2.0074 1.5897 B
-5.1472 -1.1327 4.5611 B
-3.2914 1.1638 1.9242 B
0.0000 0.0000 0.0000 Bi
-5.1935 1.1087 3.5092 Bi
```



First-principles (PBE-GGA) data for a geometry-optimized Bi3BPt structure, as listed in the Alexandria database.

Calculated values
Polymorph energy (0 for the lowest one)   0 meV/atom

The structure in POSCAR format:
```
Bi3BPt
1.0
-0.4556 -0.7371 4.8437
-1.4227 -4.6351 -0.8392
4.6883 -1.4782 0.2160
Bi Pt B
3 1 1
Cartesian
-0.2278 -0.3685 2.4218 Bi
2.3442 -0.7391 0.1080 Bi
-0.7113 -2.3175 -0.4196 Bi
1.4050 -3.4252 2.1103 Pt
0.0000 0.0000 0.0000 B
```



First-principles (PBE-GGA) data for a geometry-optimized Bi2B3Pt8 structure, as listed in the Alexandria database.

Calculated values
Energy   -77.1 eV per cell

The structure in POSCAR format:
```
Bi2B3Pt8
1.0
-2.7176 -5.0901 -1.3449
2.9709 -2.6243 3.9291
-5.5218 4.2164 3.0273
Pt B Bi
8 3 2
Cartesian
0.4465 -3.4063 3.2839 Pt
-3.0312 -3.7797 -0.2326 Pt
-1.0018 -2.1270 1.3685 Pt
-2.0101 -5.6813 1.6894 Pt
-5.7150 -0.0918 2.3275 Pt
-4.2667 -1.3711 4.2429 Pt
-2.2373 0.2816 5.8440 Pt
-3.2584 2.1832 3.9221 Pt
2.2935 -2.0260 3.0332 B
0.6774 -0.5984 0.8959 B
-1.3588 -2.5450 -0.6725 B
-2.8210 0.0142 2.1426 Bi
-2.4475 -3.5123 3.4688 Bi
```



First-principles (PBE-GGA) data for a geometry-optimized BiB2Pt8 structure, as listed in the Alexandria database.

Calculated values
Energy   -66.9 eV per cell

The structure in POSCAR format:
```
BiB2Pt8
1.0
-0.2142 6.3767 -3.8679
-5.0692 0.8804 1.7352
-0.8230 2.8032 4.6686
Pt B Bi
8 2 1
Cartesian
-0.4515 2.5742 1.6220 Pt
-3.1210 7.0448 0.0446 Pt
-2.9854 3.0155 2.4913 Pt
-2.6991 5.4154 -2.1513 Pt
-4.1717 5.4558 2.0323 Pt
-5.6548 7.4861 0.9140 Pt
-1.9347 4.6046 0.5036 Pt
-3.4073 4.6449 4.6872 Pt
-3.8577 2.5531 4.4258 B
-2.0345 1.1306 1.9780 B
-0.1071 3.1883 -1.9339 Bi
```



First-principles (PBE-GGA) data for a geometry-optimized Bi3B2Pt9 structure, as listed in the Alexandria database.

Calculated values
Energy   -162.4 eV per cell

The structure in POSCAR format:
```
Bi3B2Pt9
1.0
5.6794 0.0000 0.0000
-2.8397 4.9185 0.0000
0.0000 0.0000 18.0573
Bi Pt B
6 18 4
Cartesian
0.0000 0.0000 4.5143 Bi
0.0000 3.2790 0.8946 Bi
2.8397 1.6395 9.9232 Bi
0.0000 3.2790 8.1340 Bi
2.8397 1.6395 17.1627 Bi
0.0000 0.0000 13.5430 Bi
4.2815 0.8071 1.6966 Pt
1.4341 2.4510 13.5430 Pt
2.8397 3.3044 7.3320 Pt
1.4056 2.4675 4.5143 Pt
1.3979 0.8071 7.3320 Pt
2.8397 3.3044 1.6966 Pt
4.2815 0.8071 7.3320 Pt
0.0000 1.6141 10.7253 Pt
0.0000 1.6141 16.3607 Pt
4.2453 2.4510 13.5430 Pt
-1.4418 4.1114 10.7253 Pt
1.4418 4.1114 10.7253 Pt
1.4418 4.1114 16.3607 Pt
0.0000 4.9020 4.5143 Pt
-1.4056 2.4675 4.5143 Pt
1.3979 0.8071 1.6966 Pt
2.8397 0.0165 13.5430 Pt
-1.4418 4.1114 16.3607 Pt
2.8397 1.6395 5.9878 B
0.0000 3.2790 12.0695 B
2.8397 1.6395 3.0409 B
0.0000 3.2790 15.0164 B
```